Material: CsEuAu2
Method: DFT, GGA-PBE
State: optimized geometry

POSCAR file:
```
CsEuAu2
1.0
5.176 0.000 0.000
2.588 4.483 0.000
2.588 1.494 6.459
Au Cs Eu
2 1 1
direct
0.794 0.794 0.618
0.206 0.206 0.382
0.000 0.000 0.000
0.500 0.500 0.500
```

Output
Excess energy over the best structure of this formula in the dataset = 118 meV/atom
E = -4.844 eV/atom